Entry from the Alexandria database: a relaxed TiPdS3 crystal (GGA-PBE).

As for the symmetry: Pm-3m, No. 221. Its energy above the most stable polymorph in this dataset is 304 kJ/mol of formula units. The crystal system is cubic. For the uncorrected formation energy, the calculation gives -0.0967 eV/atom.

Cell lengths 4.659, 4.659, 4.659 Å; angles 90.00, 90.00, 90.00 degrees
Last column: magnetic moment on the atom in μB.
Element x y z (fractional)
Pd 0.500 0.500 0.500  0.11
Ti 0.000 0.000 0.000  -0.02
S 0.000 0.000 0.500  0.04
S 0.500 0.000 0.000  0.03
S 0.000 0.500 0.000  0.04